1.
A relaxed structure of GaPSeO2, computed with PBE-GGA.

Properties
The offset from the most stable computed form comes out at 0.0 meV/atom. For the volume, the calculation gives 95 Å³/f.u. The value obtained for the electronic total energy is -4.5590 eV per atom. Its density of states at the Fermi level is 2.88 states/eV per cell. For the uncorrected formation energy, the calculation gives -18.5 kJ/mol of atoms.

Unit cell a=3.641 b=3.641 c=7.195 alpha=90.00 beta=90.00 gamma=90.00
Site moments in Bohr magnetons follow the coordinates.
Atoms (fractional coordinates):
O  0.000  0.500  0.000  0.43
O  0.500  0.000  0.000  0.43
P  0.000  0.000  0.500  0.01
Ga  0.000  0.000  0.000  -0.02
Se  0.500  0.500  0.500  0.00


2.
A relaxed structure of GaSiP2O, computed with PBE-GGA.

Properties
The offset from the most stable computed form comes out at 1141.3 meV/atom. For the volume, the calculation gives 96 Å³/f.u. The value obtained for the electronic total energy is -3.9280 eV per atom. Its density of states at the Fermi level is 3.38 states/eV per cell. For the uncorrected formation energy, the calculation gives 88.5 kJ/mol of atoms.

Unit cell a=4.399 b=4.971 c=4.399 alpha=90.00 beta=90.00 gamma=90.00
Site moments in Bohr magnetons follow the coordinates.
Atoms (fractional coordinates):
P  0.000  0.000  0.500  0.11
P  0.500  0.000  0.000  0.12
Si  0.000  0.000  0.000  -0.03
O  0.500  0.500  0.500  0.86
Ga  0.000  0.500  0.000  -0.02


3.
A relaxed structure of GaSiP2O, computed with PBE-GGA.

Properties
The offset from the most stable computed form comes out at 0.0 meV/atom. For the volume, the calculation gives 76 Å³/f.u. The value obtained for the electronic total energy is -5.0693 eV per atom. Its density of states at the Fermi level is 1.61 states/eV per cell. For the uncorrected formation energy, the calculation gives -21.6 kJ/mol of atoms.

Unit cell a=4.802 b=4.802 c=3.283 alpha=90.00 beta=90.00 gamma=90.00
Atoms (fractional coordinates):
P  0.000  0.500  0.000
P  0.500  0.000  0.000
Si  0.000  0.000  0.000
O  0.000  0.000  0.500
Ga  0.500  0.500  0.500


4.
A relaxed structure of GaSiPO2, computed with PBE-GGA.

Properties
The offset from the most stable computed form comes out at 894.8 meV/atom. For the volume, the calculation gives 73 Å³/f.u. The value obtained for the electronic total energy is -4.8946 eV per atom. Its density of states at the Fermi level is 3.97 states/eV per cell. For the uncorrected formation energy, the calculation gives -13.4 kJ/mol of atoms.

Unit cell a=3.676 b=3.676 c=5.391 alpha=90.00 beta=90.00 gamma=90.00
Site moments in Bohr magnetons follow the coordinates.
Atoms (fractional coordinates):
P  0.000  0.000  0.500  0.13
Si  0.500  0.500  0.500  -0.01
O  0.000  0.500  0.000  0.30
O  0.500  0.000  0.000  0.30
Ga  0.000  0.000  0.000  -0.01


5.
A relaxed structure of GaSiPO2, computed with PBE-GGA.

Properties
The offset from the most stable computed form comes out at 0.0 meV/atom. For the volume, the calculation gives 62 Å³/f.u. The value obtained for the electronic total energy is -5.7894 eV per atom. Its density of states at the Fermi level is 1.99 states/eV per cell. For the uncorrected formation energy, the calculation gives -99.8 kJ/mol of atoms.

Unit cell a=3.457 b=3.457 c=5.201 alpha=90.00 beta=90.00 gamma=90.00
Atoms (fractional coordinates):
P  0.000  0.000  0.500
Si  0.000  0.000  0.000
O  0.000  0.500  0.000
O  0.500  0.000  0.000
Ga  0.500  0.500  0.500


6.
A relaxed structure of GaSiP2O, computed with PBE-GGA.

Properties
The offset from the most stable computed form comes out at 689.7 meV/atom. For the volume, the calculation gives 84 Å³/f.u. The value obtained for the electronic total energy is -4.3797 eV per atom. Its density of states at the Fermi level is 2.32 states/eV per cell. For the uncorrected formation energy, the calculation gives 45.0 kJ/mol of atoms.

Unit cell a=4.830 b=4.830 c=3.598 alpha=90.00 beta=90.00 gamma=90.00
Atoms (fractional coordinates):
P  0.000  0.500  0.000
P  0.500  0.000  0.000
Si  0.500  0.500  0.500
O  0.000  0.000  0.500
Ga  0.000  0.000  0.000


7.
A relaxed structure of SmGaP2O8, computed with PBE-GGA.

Properties
For the volume, the calculation gives 149 Å³/f.u. The value obtained for the electronic total energy is -7.3111 eV per atom. Its density of states at the Fermi level is 0.00 states/eV per cell. For the uncorrected formation energy, the calculation gives -237.2 kJ/mol of atoms.

Unit cell a=5.093 b=5.093 c=6.649 alpha=90.00 beta=90.00 gamma=120.00
Atoms (fractional coordinates):
Sm  0.000  0.000  0.500
Ga  0.000  0.000  0.000
P  0.333  0.667  0.732
P  0.667  0.333  0.268
O  0.167  0.333  0.804
O  0.167  0.833  0.804
O  0.667  0.833  0.804
O  0.333  0.167  0.196
O  0.667  0.333  0.498
O  0.333  0.667  0.502
O  0.833  0.667  0.196
O  0.833  0.167  0.196


8.
A relaxed structure of GaSnP2O8, computed with PBE-GGA.

Properties
For the volume, the calculation gives 138 Å³/f.u. The value obtained for the electronic total energy is -6.5707 eV per atom. Its density of states at the Fermi level is 8.29 states/eV per cell. For the uncorrected formation energy, the calculation gives -171.5 kJ/mol of atoms.

Unit cell a=4.747 b=4.747 c=7.562 alpha=71.71 beta=71.71 gamma=60.00
Atoms (fractional coordinates):
Ga  0.000  0.000  0.000
Sn  0.500  0.500  0.500
P  0.256  0.256  0.231
P  0.744  0.744  0.769
O  0.182  0.182  0.455
O  0.596  0.261  0.170
O  0.818  0.818  0.545
O  0.972  0.596  0.170
O  0.028  0.404  0.830
O  0.261  0.972  0.170
O  0.739  0.028  0.830
O  0.404  0.739  0.830


9.
A relaxed structure of GaSn2PO, computed with PBE-GGA.

Properties
For the volume, the calculation gives 108 Å³/f.u. The value obtained for the electronic total energy is -4.2143 eV per atom. Its density of states at the Fermi level is 2.37 states/eV per cell. For the uncorrected formation energy, the calculation gives 6.3 kJ/mol of atoms.

Unit cell a=5.426 b=3.670 c=5.426 alpha=90.00 beta=90.00 gamma=90.00
Atoms (fractional coordinates):
O  0.000  0.500  0.000
P  0.500  0.500  0.500
Sn  0.000  0.000  0.500
Sn  0.500  0.000  0.000
Ga  0.000  0.000  0.000


10.
A relaxed structure of GaSnPO2, computed with PBE-GGA.

Properties
The offset from the most stable computed form comes out at 51.3 meV/atom. For the volume, the calculation gives 86 Å³/f.u. The value obtained for the electronic total energy is -4.8451 eV per atom. Its density of states at the Fermi level is 4.34 states/eV per cell. For the uncorrected formation energy, the calculation gives -36.1 kJ/mol of atoms.

Unit cell a=3.940 b=3.940 c=5.562 alpha=90.00 beta=90.00 gamma=90.00
Atoms (fractional coordinates):
O  0.000  0.500  0.000
O  0.500  0.000  0.000
P  0.000  0.000  0.500
Sn  0.000  0.000  0.000
Ga  0.500  0.500  0.500


11.
A relaxed structure of GaSnPO2, computed with PBE-GGA.

Properties
The offset from the most stable computed form comes out at 0.0 meV/atom. For the volume, the calculation gives 76 Å³/f.u. The value obtained for the electronic total energy is -4.8964 eV per atom. Its density of states at the Fermi level is 3.38 states/eV per cell. For the uncorrected formation energy, the calculation gives -41.0 kJ/mol of atoms.

Unit cell a=3.852 b=3.852 c=5.123 alpha=90.00 beta=90.00 gamma=90.00
Site moments in Bohr magnetons follow the coordinates.
Atoms (fractional coordinates):
O  0.000  0.500  0.000  0.28
O  0.500  0.000  0.000  0.28
P  0.000  0.000  0.500  0.14
Sn  0.500  0.500  0.500  0.00
Ga  0.000  0.000  0.000  0.00


12.
A relaxed structure of Sr2Ga2P2O, computed with PBE-GGA.

Properties
For the volume, the calculation gives 148 Å³/f.u. The value obtained for the electronic total energy is -4.5946 eV per atom. Its density of states at the Fermi level is 2.04 states/eV per cell. For the uncorrected formation energy, the calculation gives -96.0 kJ/mol of atoms.

Unit cell a=3.979 b=6.751 c=6.959 alpha=57.52 beta=89.93 gamma=73.00
Atoms (fractional coordinates):
Sr  0.567  0.869  0.822
Sr  0.433  0.131  0.178
Ga  0.808  0.384  0.708
Ga  0.192  0.616  0.292
P  0.826  0.345  0.371
P  0.174  0.655  0.629
O  0.000  0.000  0.000


13.
A relaxed structure of SrGaP2O, computed with PBE-GGA.

Properties
The offset from the most stable computed form comes out at 955.6 meV/atom. For the volume, the calculation gives 160 Å³/f.u. The value obtained for the electronic total energy is -3.4719 eV per atom. Its density of states at the Fermi level is 3.27 states/eV per cell. For the uncorrected formation energy, the calculation gives 60.3 kJ/mol of atoms.

Unit cell a=5.981 b=5.981 c=4.468 alpha=90.00 beta=90.00 gamma=90.00
Site moments in Bohr magnetons follow the coordinates.
Atoms (fractional coordinates):
Sr  0.000  0.000  0.000  0.09
O  0.000  0.000  0.500  0.66
Ga  0.500  0.500  0.500  0.05
P  0.000  0.500  0.000  0.85
P  0.500  0.000  0.000  0.85


14.
A relaxed structure of SrGaPO2, computed with PBE-GGA.

Properties
The offset from the most stable computed form comes out at 943.9 meV/atom. For the volume, the calculation gives 126 Å³/f.u. The value obtained for the electronic total energy is -3.9574 eV per atom. Its density of states at the Fermi level is 3.22 states/eV per cell. For the uncorrected formation energy, the calculation gives 4.8 kJ/mol of atoms.

Unit cell a=4.447 b=4.447 c=6.376 alpha=90.00 beta=90.00 gamma=90.00
Site moments in Bohr magnetons follow the coordinates.
Atoms (fractional coordinates):
Sr  0.000  0.000  0.000  0.07
O  0.000  0.500  0.000  0.78
O  0.500  0.000  0.000  0.78
Ga  0.500  0.500  0.500  -0.02
P  0.000  0.000  0.500  0.33


15.
A relaxed structure of SrGa2PO6, computed with PBE-GGA.

Properties
For the volume, the calculation gives 137 Å³/f.u. The value obtained for the electronic total energy is -6.4154 eV per atom. Its density of states at the Fermi level is 2.65 states/eV per cell. For the uncorrected formation energy, the calculation gives -205.1 kJ/mol of atoms.

Unit cell a=6.564 b=7.122 c=7.122 alpha=85.83 beta=65.37 gamma=65.37
Atoms (fractional coordinates):
Sr  0.250  0.817  0.183
Sr  0.750  0.183  0.817
Ga  0.381  0.711  0.623
Ga  0.119  0.377  0.289
Ga  0.619  0.289  0.377
Ga  0.881  0.623  0.711
P  0.250  0.181  0.819
P  0.750  0.819  0.181
O  0.204  0.987  0.809
O  0.296  0.191  0.013
O  0.796  0.013  0.191
O  0.704  0.809  0.987
O  0.511  0.833  0.369
O  0.989  0.631  0.167
O  0.489  0.167  0.631
O  0.011  0.369  0.833
O  0.081  0.767  0.596
O  0.419  0.404  0.233
O  0.919  0.233  0.404
O  0.581  0.596  0.767


16.
A relaxed structure of SrGaP2O, computed with PBE-GGA.

Properties
The offset from the most stable computed form comes out at 0.0 meV/atom. For the volume, the calculation gives 100 Å³/f.u. The value obtained for the electronic total energy is -4.4275 eV per atom. Its density of states at the Fermi level is 4.83 states/eV per cell. For the uncorrected formation energy, the calculation gives -31.9 kJ/mol of atoms.

Unit cell a=5.235 b=5.235 c=3.661 alpha=90.00 beta=90.00 gamma=90.00
Atoms (fractional coordinates):
Sr  0.500  0.500  0.500
O  0.000  0.000  0.500
Ga  0.000  0.000  0.000
P  0.000  0.500  0.000
P  0.500  0.000  0.000


17.
A relaxed structure of SrGaPO2, computed with PBE-GGA.

Properties
The offset from the most stable computed form comes out at 0.0 meV/atom. For the volume, the calculation gives 81 Å³/f.u. The value obtained for the electronic total energy is -4.9013 eV per atom. Its density of states at the Fermi level is 3.32 states/eV per cell. For the uncorrected formation energy, the calculation gives -86.3 kJ/mol of atoms.

Unit cell a=4.165 b=4.165 c=4.659 alpha=90.00 beta=90.00 gamma=90.00
Site moments in Bohr magnetons follow the coordinates.
Atoms (fractional coordinates):
Sr  0.500  0.500  0.500  0.04
O  0.000  0.500  0.000  0.31
O  0.500  0.000  0.000  0.31
Ga  0.000  0.000  0.000  0.00
P  0.000  0.000  0.500  0.42


18.
A relaxed structure of TaGaPO2, computed with PBE-GGA.

Properties
The offset from the most stable computed form comes out at 0.0 meV/atom. For the volume, the calculation gives 80 Å³/f.u. The value obtained for the electronic total energy is -7.5072 eV per atom. Its density of states at the Fermi level is 1.37 states/eV per cell. For the uncorrected formation energy, the calculation gives -141.4 kJ/mol of atoms.

Unit cell a=3.896 b=3.896 c=5.278 alpha=90.00 beta=90.00 gamma=90.00
Atoms (fractional coordinates):
P  0.000  0.000  0.500
O  0.000  0.500  0.000
O  0.500  0.000  0.000
Ga  0.500  0.500  0.500
Ta  0.000  0.000  0.000


19.
A relaxed structure of TaGaP2O, computed with PBE-GGA.

Properties
The offset from the most stable computed form comes out at 0.0 meV/atom. For the volume, the calculation gives 95 Å³/f.u. The value obtained for the electronic total energy is -6.6195 eV per atom. Its density of states at the Fermi level is 2.56 states/eV per cell. For the uncorrected formation energy, the calculation gives -47.1 kJ/mol of atoms.

Unit cell a=4.958 b=4.958 c=3.871 alpha=90.00 beta=90.00 gamma=90.00
Atoms (fractional coordinates):
P  0.000  0.500  0.000
P  0.500  0.000  0.000
O  0.000  0.000  0.500
Ga  0.500  0.500  0.500
Ta  0.000  0.000  0.000


20.
A relaxed structure of TaGaPO2, computed with PBE-GGA.

Properties
The offset from the most stable computed form comes out at 1158.0 meV/atom. For the volume, the calculation gives 69 Å³/f.u. The value obtained for the electronic total energy is -6.3492 eV per atom. Its density of states at the Fermi level is 2.97 states/eV per cell. For the uncorrected formation energy, the calculation gives -29.7 kJ/mol of atoms.

Unit cell a=3.694 b=3.694 c=5.024 alpha=90.00 beta=90.00 gamma=90.00
Site moments in Bohr magnetons follow the coordinates.
Atoms (fractional coordinates):
P  0.000  0.000  0.500  -0.02
O  0.000  0.500  0.000  -0.01
O  0.500  0.000  0.000  -0.01
Ga  0.000  0.000  0.000  0.00
Ta  0.500  0.500  0.500  0.41